Entry 1:
The following is a DFT calculation (GGA-PBE) of a relaxed Ho2Er5Pd4 crystal.

Calculated values
Fermi-level density of states: 9.48 states/eV/cell
formation enthalpy at 0 K: -0.442 eV per atom

Cell lengths 3.573, 6.722, 12.320 Å; angles 88.47, 98.34, 90.00 degrees
Element x y z (fractional)
1 Er 0.091 0.333 0.182
2 Er 0.866 0.177 0.732
3 Er 0.500 0.000 0.000
4 Er 0.909 0.667 0.818
5 Er 0.134 0.823 0.268
6 Ho 0.764 0.753 0.529
7 Ho 0.236 0.247 0.471
8 Pd 0.026 0.688 0.052
9 Pd 0.670 0.504 0.339
10 Pd 0.974 0.312 0.948
11 Pd 0.330 0.496 0.661


Entry 2:
The following is a DFT calculation (GGA-PBE) of a relaxed SrLi2Fe crystal.

Calculated values
Fermi-level density of states: 4.13 states/eV/cell
formation enthalpy at 0 K: 0.506 eV per atom
E above lowest polymorph: 0.075 eV per atom

Cell lengths 4.949, 3.326, 5.634 Å; angles 82.35, 90.00, 90.00 degrees
Site moments in Bohr magnetons follow the coordinates.
Element x y z (fractional)
1 Fe 0.500 0.750 0.750  2.78
2 Li 0.000 0.967 0.936  -0.03
3 Li 0.000 0.533 0.564  -0.03
4 Sr 0.500 0.250 0.250  -0.08


Entry 3:
The following is a DFT calculation (GGA-PBE) of a relaxed TlReOs crystal.

Calculated values
Fermi-level density of states: 3.54 states/eV/cell
formation enthalpy at 0 K: 0.953 eV per atom

Cell lengths 7.801, 7.533, 2.887 Å; angles 84.42, 73.96, 21.62 degrees
Element x y z (fractional)
1 Os 0.988 0.988 0.012
2 Re 0.347 0.347 0.653
3 Tl 0.665 0.665 0.335


Entry 4:
The following is a DFT calculation (GGA-PBE) of a relaxed Ga8PdAu2 crystal.

Calculated values
Fermi-level density of states: 3.63 states/eV/cell
formation enthalpy at 0 K: -0.158 eV per atom
E above lowest polymorph: 0.042 eV per atom

Cell lengths 4.643, 8.460, 7.016 Å; angles 125.94, 97.15, 105.23 degrees
Element x y z (fractional)
1 Au 0.669 0.336 0.622
2 Au 0.331 0.664 0.378
3 Ga 0.974 0.283 0.931
4 Ga 0.117 0.151 0.258
5 Ga 0.026 0.717 0.069
6 Ga 0.883 0.849 0.742
7 Ga 0.303 0.568 0.706
8 Ga 0.316 0.077 0.680
9 Ga 0.684 0.923 0.320
10 Ga 0.697 0.432 0.294
11 Pd 0.500 0.000 0.000


> What is the Fermi-level density of states in the first record?

9.48 states/eV/cell